First-principles (GGA-PBE) data for a relaxed MnHS crystal, as listed in Alexandria.

Output
Final energy in eV/atom: -5.849

Lattice parameters (Å, degrees): 2.9420 4.4227 6.2591 104.25 90.00 90.00
Positions (direct):
H 0.2500 0.6404 0.6234
H 0.7500 0.3596 0.3766
S 0.7500 0.1717 0.7625
S 0.2500 0.8283 0.2375
Mn 0.2500 0.2409 0.5168
Mn 0.7500 0.7591 0.4832